Entry 1:
Material: Eu2Er
Method: DFT, GGA-PBE
State: relaxed

Density of states at the Fermi level (states/eV/cell): 7.5
ΔH_f (0 K) (eV per atom): 0.09
E (eV/atom): -8.276

a = 3.7131 Å, b = 3.7131 Å, c = 16.1400 Å
α = 90.00°, β = 90.00°, γ = 90.00°
Space group I4/mmm (No. 139)
Symmetry-distinct sites (fractional):
Eu (0.0000, 0.0000, 0.1609) x4
Er (0.0000, 0.0000, 0.5000) x2

***

Entry 2:
Material: EuEr3
Method: DFT, GGA-PBE
State: relaxed

Density of states at the Fermi level (states/eV/cell): 30.9
ΔH_f (0 K) (eV per atom): 0.17
E (eV/atom): -5.822

a = 8.0470 Å, b = 8.0470 Å, c = 8.0470 Å
α = 90.00°, β = 90.00°, γ = 90.00°
Space group Fm-3m (No. 225)
Symmetry-distinct sites (fractional):
Eu (0.0000, 0.0000, 0.0000) x4
Er (0.0000, 0.0000, 0.5000) x4
Er (0.2500, 0.2500, 0.2500) x8

***

Entry 3:
Material: EuEr3
Method: DFT, GGA-PBE
State: relaxed

Density of states at the Fermi level (states/eV/cell): 12.9
ΔH_f (0 K) (eV per atom): 0.10
E (eV/atom): -5.892

a = 5.0546 Å, b = 5.0546 Å, c = 10.0677 Å
α = 90.00°, β = 90.00°, γ = 90.00°
Space group I4/mmm (No. 139)
Symmetry-distinct sites (fractional):
Eu (0.0000, 0.0000, 0.0000) x2
Er (0.0000, 0.0000, 0.5000) x2
Er (0.0000, 0.5000, 0.2500) x4

***

Entry 4:
Material: EuEr3
Method: DFT, GGA-PBE
State: relaxed

Density of states at the Fermi level (states/eV/cell): 12.9
ΔH_f (0 K) (eV per atom): 0.07
E (eV/atom): -5.919

a = 3.6106 Å, b = 11.4660 Å, c = 6.2769 Å
α = 90.00°, β = 90.00°, γ = 90.00°
Space group Imm2 (No. 44)
Symmetry-distinct sites (fractional):
Eu (0.0000, 0.0000, 0.0000) x2
Er (0.0000, 0.2437, 0.6625) x4
Er (0.0000, 0.5000, 0.9967) x2

***

Entry 5:
Material: EuEr6
Method: DFT, GGA-PBE
State: relaxed

Density of states at the Fermi level (states/eV/cell): 51.7
ΔH_f (0 K) (eV per atom): 1.40
E (eV/atom): -3.977

a = 8.3708 Å, b = 8.3708 Å, c = 8.3708 Å
α = 90.00°, β = 90.00°, γ = 90.00°
Space group Im-3m (No. 229)
Symmetry-distinct sites (fractional):
Eu (0.0000, 0.0000, 0.0000) x2
Er (0.0000, 0.2500, 0.5000) x12

***

Entry 6:
Material: Eu6Er
Method: DFT, GGA-PBE
State: relaxed

Density of states at the Fermi level (states/eV/cell): 24.8
ΔH_f (0 K) (eV per atom): 1.15
E (eV/atom): -8.307

a = 8.3248 Å, b = 8.3248 Å, c = 8.3248 Å
α = 90.00°, β = 90.00°, γ = 90.00°
Space group Im-3m (No. 229)
Symmetry-distinct sites (fractional):
Eu (0.0000, 0.2500, 0.5000) x12
Er (0.0000, 0.0000, 0.0000) x2

***

Number 1: mass density 7.0 g/cm3. Number 2: mass density 8.3 g/cm3. Number 3: mass density 8.4 g/cm3. Number 4: mass density 8.4 g/cm3. Number 5: mass density 6.5 g/cm3. Number 6: mass density 6.2 g/cm3.